A plane-wave DFT calculation with PBE was carried out for a relaxed Be2NiTe crystal.

Geometry as extended XYZ:
```
4
Lattice="3.317 0.092 0.000 -0.082 3.318 0.000 0.000 0.000 4.994" Properties=species:S:1:pos:R:3 pbc="T T T"
Ni 0.000 0.000 2.240
Te 1.618 1.705 3.805
Be 0.000 0.000 0.132
Be 1.618 1.705 1.314
```

Calculated values
The calculated total energy is -3.76 eV/atom. The volume is 55.0 Å³/cell. The raw formation energy is 0.334 eV/atom.

A plane-wave DFT calculation with PBE was carried out for a relaxed Rb2CaOs crystal.

Geometry as extended XYZ:
```
8
Lattice="-3.496 -2.790 0.775 2.860 -3.140 1.601 -1.555 1.789 12.726" Properties=species:S:1:pos:R:3 pbc="T T T"
Ca -0.318 -2.965 1.188
Ca 0.494 -2.158 7.757
Rb 0.052 -2.481 11.250
Rb -0.436 -0.268 3.471
Rb -3.180 -2.248 10.807
Rb -0.819 -3.285 4.673
Os -2.685 -1.983 7.344
Os 0.000 0.000 0.000
```

Calculated values
The calculated total energy is -2.44 eV/atom. The volume is 258.4 Å³/cell. The calculation puts the energy above the lowest structure with this stoichiometry at 0.000 eV per atom.

A plane-wave DFT calculation with PBE was carried out for a relaxed Sr2Zn6PdPt crystal.

Geometry as extended XYZ:
```
10
Lattice="6.900 0.004 0.009 0.004 6.903 0.009 3.458 3.460 4.899" Properties=species:S:1:pos:R:3 pbc="T T T"
Zn 6.907 6.911 2.454
Zn 1.722 5.185 0.009
Zn 8.642 8.647 4.910
Zn 1.720 1.720 0.006
Zn 3.454 3.456 2.462
Zn 8.639 5.182 4.908
Sr 6.905 3.459 2.457
Sr 3.457 6.908 2.459
Pt 3.452 3.453 0.009
Pd 0.000 0.000 0.000
```

Calculated values
The calculated total energy is -2.56 eV/atom. The volume is 233.0 Å³/cell.

A plane-wave DFT calculation with PBE was carried out for a relaxed RbTa2P crystal.

Geometry as extended XYZ:
```
8
Lattice="4.914 0.000 0.000 0.000 4.914 0.000 2.457 2.457 9.027" Properties=species:S:1:pos:R:3 pbc="T T T"
P 2.457 4.914 4.513
P 2.457 2.457 0.000
Rb 0.000 0.000 0.000
Rb 4.914 2.457 4.513
Ta 2.102 3.685 2.257
Ta 3.685 4.559 6.770
Ta 6.142 5.268 6.770
Ta 2.811 1.228 2.257
```

Calculated values
The calculated total energy is -6.50 eV/atom. The volume is 217.9 Å³/cell.

A plane-wave DFT calculation with PBE was carried out for a relaxed BaCaTl2 crystal.

Geometry as extended XYZ:
```
4
Lattice="-5.277 -0.511 3.572 -3.790 -4.634 -2.243 6.218 0.158 1.478" Properties=species:S:1:pos:R:3 pbc="T T T"
Ba -4.534 -2.572 0.664
Tl -1.053 -3.524 -0.050
Tl 0.000 0.000 0.000
Ca -1.797 -1.463 2.857
```

Calculated values
The calculated total energy is -2.40 eV/atom. The volume is 139.3 Å³/cell.

A plane-wave DFT calculation with PBE was carried out for a relaxed CsThAlS4 crystal.

Geometry as extended XYZ:
```
14
Lattice="6.628 0.000 -0.164 0.000 6.761 0.000 -2.813 0.000 9.191" Properties=species:S:1:pos:R:3 pbc="T T T"
Al 3.273 1.690 5.951
Al 0.542 5.071 3.076
S 2.283 5.071 1.690
S 5.711 3.354 2.680
S 1.302 5.071 5.188
S 5.711 0.026 2.680
S -1.896 3.407 6.348
S 2.513 1.690 3.839
S -1.896 6.735 6.348
S 1.532 1.690 7.337
Th 3.835 5.071 4.014
Th -0.020 1.690 5.013
Cs 1.605 1.690 0.515
Cs 2.210 5.071 8.512
```

Calculated values
The calculated total energy is -5.67 eV/atom. The volume is 408.8 Å³/cell. The raw formation energy is -1.597 eV/atom.

A plane-wave DFT calculation with PBE was carried out for a relaxed LaGa2Au8 crystal.

Geometry as extended XYZ:
```
11
Lattice="5.592 0.000 0.000 0.000 5.592 0.000 0.000 0.000 8.527" Properties=species:S:1:pos:R:3 pbc="T T T"
Au 4.212 4.212 6.665
Au 1.379 1.379 1.862
Au 1.379 4.212 1.862
Au 4.212 4.212 1.862
Au 4.212 1.379 1.862
Au 4.212 1.379 6.665
Au 1.379 1.379 6.665
Au 1.379 4.212 6.665
Ga 2.796 0.000 0.000
Ga 0.000 2.796 0.000
La 2.796 2.796 4.264
```

Calculated values
The calculated total energy is -3.53 eV/atom. The volume is 266.6 Å³/cell.

A plane-wave DFT calculation with PBE was carried out for a relaxed HoThCoRu crystal.

Geometry as extended XYZ:
```
4
Lattice="-4.273 0.574 -2.268 -2.846 -3.862 -0.847 -4.162 -0.548 2.472" Properties=species:S:1:pos:R:3 pbc="T T T"
Th 0.000 0.000 0.000
Ru -8.461 -2.878 -0.483
Ho -5.641 -1.918 -0.322
Co -2.820 -0.959 -0.161
```

Calculated values
The calculated total energy is -7.39 eV/atom. The volume is 81.8 Å³/cell.

A plane-wave DFT calculation with PBE was carried out for a relaxed CrRuCl crystal.

Geometry as extended XYZ:
```
3
Lattice="-1.817 -2.145 -0.403 0.636 0.847 2.635 -4.705 4.013 -0.155" Properties=species:S:1:pos:R:3 pbc="T T T"
Cl -0.214 0.182 -0.007
Ru -3.143 2.376 1.525
Cr -2.529 0.157 0.560
```

Calculated values
The calculated total energy is -6.69 eV/atom. The volume is 43.2 Å³/cell. The calculation puts the energy above the lowest structure with this stoichiometry at 0.000 eV per atom. The raw formation energy is 0.221 eV/atom.

A plane-wave DFT calculation with PBE was carried out for a relaxed YHRh3 crystal.

Geometry as extended XYZ:
```
20
Lattice="0.000 5.342 5.342 5.342 0.000 5.342 5.342 5.342 0.000" Properties=species:S:1:pos:R:3 pbc="T T T"
Y 4.007 6.678 4.007
Y 6.678 4.007 4.007
Y 4.007 4.007 6.678
Y 6.678 6.678 6.678
Rh 5.342 5.342 1.956
Rh 8.729 5.342 5.342
Rh 2.671 2.671 0.715
Rh 2.671 2.671 4.627
Rh 5.342 1.956 5.342
Rh 2.671 0.715 2.671
Rh 1.956 5.342 5.342
Rh 5.342 8.729 5.342
Rh 2.671 4.627 2.671
Rh 0.715 2.671 2.671
Rh 5.342 5.342 8.729
Rh 4.627 2.671 2.671
H 1.336 1.336 1.336
H 4.007 4.007 1.336
H 4.007 1.336 4.007
H 1.336 4.007 4.007
```

Calculated values
The calculated total energy is -6.58 eV/atom. The volume is 304.9 Å³/cell. The calculation puts the energy above the lowest structure with this stoichiometry at 0.290 eV per atom.

A plane-wave DFT calculation with PBE was carried out for a relaxed AlBiBr6 crystal.

Geometry as extended XYZ:
```
16
Lattice="-2.110 2.494 -7.470 2.522 -7.675 -2.203 -8.602 -1.942 4.789" Properties=species:S:1:pos:R:3 pbc="T T T"
Br -2.940 -3.013 0.806
Br -1.749 -5.060 -4.896
Br 0.228 -2.653 -2.620
Br -5.251 -4.109 -5.690
Br -8.419 -4.470 -2.264
Br -7.307 -0.921 -3.464
Br -0.884 -6.202 -1.420
Br -3.452 -1.695 -3.175
Br -4.739 -5.427 -1.709
Br -1.518 0.458 -5.726
Br -6.441 -2.063 0.012
Br -6.672 -7.581 0.842
Al -8.029 -2.260 -1.724
Al -0.162 -4.862 -3.160
Bi -3.019 -2.258 -5.680
Bi -5.172 -4.865 0.796
```

Calculated values
The calculated total energy is -3.11 eV/atom. The volume is 633.5 Å³/cell. The calculation puts the energy above the lowest structure with this stoichiometry at 0.000 eV per atom. The raw formation energy is -0.906 eV/atom.

A plane-wave DFT calculation with PBE was carried out for a relaxed MgCu5O8 crystal.

Geometry as extended XYZ:
```
14
Lattice="5.917 0.000 0.000 2.959 5.125 0.000 2.959 1.708 4.832" Properties=species:S:1:pos:R:3 pbc="T T T"
Cu 4.441 4.269 3.019
Cu 0.000 0.000 0.000
Cu 5.917 1.711 3.019
Cu 7.394 4.269 3.019
Cu 5.917 3.416 0.607
O 7.261 2.640 1.867
O 10.240 5.912 4.180
O 7.513 5.912 4.180
O 8.876 5.125 1.954
O 5.917 4.968 1.867
O 8.876 3.550 4.180
O 4.573 2.640 1.867
O 5.917 3.416 4.062
Mg 2.959 1.708 1.208
```

Calculated values
The calculated total energy is -5.13 eV/atom. The volume is 146.5 Å³/cell. The raw formation energy is -0.722 eV/atom.

A plane-wave DFT calculation with PBE was carried out for a relaxed Fe2AgS crystal.

Geometry as extended XYZ:
```
8
Lattice="6.752 0.000 0.000 0.000 6.752 0.000 3.376 3.376 2.635" Properties=species:S:1:pos:R:3 pbc="T T T"
S 3.376 6.752 1.318
S 3.376 3.376 0.000
Fe 4.675 1.688 0.659
Fe 8.440 8.051 1.976
Fe 5.064 5.453 1.976
Fe 2.077 5.064 0.659
Ag 6.752 3.376 1.318
Ag 0.000 0.000 0.000
```

Calculated values
The calculated total energy is -5.62 eV/atom. The volume is 120.1 Å³/cell. The raw formation energy is 0.352 eV/atom.

A plane-wave DFT calculation with PBE was carried out for a relaxed Ac2Ho3Ni2 crystal.

Geometry as extended XYZ:
```
7
Lattice="3.636 0.000 1.022 1.335 5.963 2.230 -0.515 -0.257 8.812" Properties=species:S:1:pos:R:3 pbc="T T T"
Ac 1.122 2.753 2.986
Ac 3.334 2.954 9.078
Ni 1.416 5.281 8.922
Ni 3.040 0.426 3.141
Ho 2.253 4.752 5.944
Ho 2.203 0.955 6.120
Ho 1.818 0.000 0.511
```

Calculated values
The calculated total energy is -4.99 eV/atom. The volume is 195.9 Å³/cell.

A plane-wave DFT calculation with PBE was carried out for a relaxed Be2ReOs crystal.

Geometry as extended XYZ:
```
4
Lattice="-4.074 2.357 -0.308 -4.468 0.175 1.500 -0.699 2.572 2.952" Properties=species:S:1:pos:R:3 pbc="T T T"
Os -4.726 2.556 2.054
Re -6.844 3.823 3.121
Be -2.421 1.269 1.004
Be -8.414 2.539 1.228
```

Calculated values
The calculated total energy is -7.85 eV/atom. The volume is 45.7 Å³/cell. The calculation puts the energy above the lowest structure with this stoichiometry at 0.084 eV per atom.

A plane-wave DFT calculation with PBE was carried out for a relaxed BaMg4Pd crystal.

Geometry as extended XYZ:
```
12
Lattice="-0.293 4.139 -0.995 -4.959 -1.845 -6.215 -7.251 0.819 5.542" Properties=species:S:1:pos:R:3 pbc="T T T"
Pd -6.326 0.284 3.044
Pd -5.884 -1.310 -3.717
Mg -10.344 0.913 -2.307
Mg -4.224 0.791 -4.615
Mg -5.638 2.024 0.929
Mg -2.158 2.200 0.638
Mg -6.865 1.090 -2.597
Mg -8.278 2.322 2.946
Mg -3.625 0.410 2.771
Mg 0.000 0.000 0.000
Ba -3.831 -0.546 -1.144
Ba -8.379 -0.480 0.470
```

Calculated values
The calculated total energy is -2.57 eV/atom. The volume is 319.1 Å³/cell.

A plane-wave DFT calculation with PBE was carried out for a relaxed SiBiTe2I crystal.

Geometry as extended XYZ:
```
5
Lattice="-0.855 -2.005 4.948 5.338 -0.230 0.829 -0.095 4.934 1.983" Properties=species:S:1:pos:R:3 pbc="T T T"
I -0.048 2.467 0.991
Bi 2.194 1.349 3.880
Te 2.669 -0.115 0.415
Te -0.428 -1.003 2.474
Si 0.000 0.000 0.000
```

Calculated values
The calculated total energy is -3.08 eV/atom. The volume is 155.5 Å³/cell. The calculation puts the energy above the lowest structure with this stoichiometry at 0.000 eV per atom. The raw formation energy is 0.344 eV/atom.

A plane-wave DFT calculation with PBE was carried out for a relaxed PmSmGeCl crystal.

Geometry as extended XYZ:
```
4
Lattice="-0.947 4.975 -0.878 -4.613 1.472 -1.725 -3.191 2.593 3.086" Properties=species:S:1:pos:R:3 pbc="T T T"
Cl -6.563 6.780 0.362
Pm 0.000 0.000 0.000
Sm -4.375 4.520 0.241
Ge -2.188 2.260 0.121
```

Calculated values
The calculated total energy is -5.02 eV/atom. The volume is 96.0 Å³/cell. The calculation puts the energy above the lowest structure with this stoichiometry at 0.000 eV per atom. The raw formation energy is -1.033 eV/atom.

A plane-wave DFT calculation with PBE was carried out for a relaxed BaEuNbSbO6 crystal.

Geometry as extended XYZ:
```
20
Lattice="-3.044 4.538 2.391 1.157 -2.134 5.508 7.136 4.560 0.177" Properties=species:S:1:pos:R:3 pbc="T T T"
O 0.538 -0.500 4.698
O 3.624 1.477 5.045
O 4.711 7.464 3.377
O 2.590 2.884 2.369
O 5.326 6.150 5.790
O 1.625 5.487 3.030
O 5.762 2.873 3.106
O 1.300 1.718 6.632
O 3.950 5.246 1.444
O -0.077 0.815 2.286
O 2.659 4.081 5.706
O -0.513 4.091 4.969
Eu 4.310 4.748 3.903
Eu 0.939 2.216 4.172
Nb 2.046 4.549 1.284
Nb 0.579 -1.067 2.754
Ba 3.444 5.868 7.878
Ba 1.805 1.097 0.197
Sb -1.522 2.269 1.195
Sb 4.147 1.213 2.842
```

Calculated values
The calculated total energy is -8.00 eV/atom. The volume is 304.1 Å³/cell. The calculation puts the energy above the lowest structure with this stoichiometry at 0.000 eV per atom. The raw formation energy is -2.384 eV/atom.

A plane-wave DFT calculation with PBE was carried out for a relaxed RbScSe2 crystal.

Geometry as extended XYZ:
```
16
Lattice="6.835 0.000 0.000 0.000 3.913 0.000 0.000 0.000 19.624" Properties=species:S:1:pos:R:3 pbc="T T T"
Se 1.323 0.978 16.658
Se 4.962 0.978 9.131
Se 4.741 0.978 12.777
Se 5.511 2.935 2.965
Se 1.873 2.935 10.493
Se 1.545 0.978 0.681
Se 5.290 2.935 18.943
Se 2.094 2.935 6.847
Rb 5.551 2.935 6.410
Rb 1.284 0.978 13.214
Rb 2.133 2.935 3.402
Rb 4.701 0.978 16.221
Sc 1.034 2.935 18.432
Sc 2.384 0.978 8.621
Sc 5.801 0.978 1.191
Sc 4.451 2.935 11.003
```

Calculated values
The calculated total energy is -5.07 eV/atom. The volume is 524.8 Å³/cell. The raw formation energy is -1.502 eV/atom.